A relaxed La2SmDy6Y3 crystal. Source: Alexandria via LeMat-Bulk, functional PBE.

Cell and atoms, written as CIF:
```
data_La2SmDy6Y3
_cell_length_a 6.2269
_cell_length_b 10.7850
_cell_length_c 11.8848
_cell_angle_alpha 90.00
_cell_angle_beta 100.04
_cell_angle_gamma 90.00
_space_group_name_H-M_alt 'C 1 2/m 1'
_space_group_IT_number 12
_space_group_name_Hall '-C 2y'
loop_
_atom_site_label
_atom_site_type_symbol
_atom_site_fract_x
_atom_site_fract_y
_atom_site_fract_z
La1 La 0.0000 0.1664 0.0000
Sm1 Sm 0.0000 0.5000 0.0000
Dy1 Dy 0.2473 0.5000 0.7460
Dy2 Dy 0.2485 0.1663 0.7461
Y1 Y 0.0000 0.0000 0.5000
Y2 Y 0.0000 0.3336 0.5000
```

Summary:
energy of formation from the pure elements: 0.02 eV/atom

A relaxed LaSm2DyY crystal. Source: Alexandria via LeMat-Bulk, functional PBE.

Cell and atoms, written as CIF:
```
data_LaSm2DyY
_cell_length_a 3.6777
_cell_length_b 5.6497
_cell_length_c 8.6387
_cell_angle_alpha 90.00
_cell_angle_beta 90.00
_cell_angle_gamma 90.00
_space_group_name_H-M_alt 'P m m m'
_space_group_IT_number 47
_space_group_name_Hall '-P 2 2'
loop_
_atom_site_label
_atom_site_type_symbol
_atom_site_fract_x
_atom_site_fract_y
_atom_site_fract_z
La1 La 0.0000 0.0000 0.0000
Sm1 Sm 0.0000 0.5000 0.3218
Dy1 Dy 0.5000 0.0000 0.5000
Y1 Y 0.5000 0.5000 0.0000
```

Summary:
energy of formation from the pure elements: 0.27 eV/atom

A relaxed La2SmDy2Y crystal. Source: Alexandria via LeMat-Bulk, functional PBE.

Cell and atoms, written as CIF:
```
data_La2SmDy2Y
_cell_length_a 7.1406
_cell_length_b 5.7336
_cell_length_c 9.9168
_cell_angle_alpha 90.00
_cell_angle_beta 90.00
_cell_angle_gamma 90.00
_space_group_name_H-M_alt 'P m m a'
_space_group_IT_number 51
_space_group_name_Hall '-P 2a 2a'
loop_
_atom_site_label
_atom_site_type_symbol
_atom_site_fract_x
_atom_site_fract_y
_atom_site_fract_z
La1 La 0.0000 0.0000 0.0000
La2 La 0.2500 0.5000 0.1757
Sm1 Sm 0.2500 0.0000 0.6602
Dy1 Dy 0.2500 0.0000 0.3342
Dy2 Dy 0.2500 0.5000 0.8338
Y1 Y 0.0000 0.5000 0.5000
```

Summary:
energy of formation from the pure elements: 0.06 eV/atom

A relaxed LaSm2DyY6 crystal. Source: Alexandria via LeMat-Bulk, functional PBE.

Cell and atoms, written as CIF:
```
data_LaSm2DyY6
_cell_length_a 9.1633
_cell_length_b 15.1424
_cell_length_c 9.7280
_cell_angle_alpha 90.00
_cell_angle_beta 97.98
_cell_angle_gamma 90.00
_space_group_name_H-M_alt 'C 1 2/c 1'
_space_group_IT_number 15
_space_group_name_Hall '-C 2yc'
loop_
_atom_site_label
_atom_site_type_symbol
_atom_site_fract_x
_atom_site_fract_y
_atom_site_fract_z
La1 La 0.0000 0.0230 0.2500
Sm1 Sm 0.2462 0.0510 0.5474
Dy1 Dy 0.0000 0.4085 0.7500
Y1 Y 0.0667 0.1891 0.9422
Y2 Y 0.0972 0.3932 0.1164
Y3 Y 0.2083 0.2255 0.3171
```

Summary:
energy of formation from the pure elements: 0.12 eV/atom

A relaxed LaSmDy2Y6 crystal. Source: Alexandria via LeMat-Bulk, functional PBE.

Cell and atoms, written as CIF:
```
data_LaSmDy2Y6
_cell_length_a 9.2340
_cell_length_b 15.1203
_cell_length_c 9.5962
_cell_angle_alpha 90.00
_cell_angle_beta 96.54
_cell_angle_gamma 90.00
_space_group_name_H-M_alt 'C 1 2/c 1'
_space_group_IT_number 15
_space_group_name_Hall '-C 2yc'
loop_
_atom_site_label
_atom_site_type_symbol
_atom_site_fract_x
_atom_site_fract_y
_atom_site_fract_z
La1 La 0.0000 0.0303 0.2500
Sm1 Sm 0.0000 0.4100 0.7500
Dy1 Dy 0.2478 0.0517 0.5509
Y1 Y 0.0642 0.1839 0.9420
Y2 Y 0.0960 0.3900 0.1141
Y3 Y 0.2112 0.2272 0.3197
```

Summary:
energy of formation from the pure elements: 0.12 eV/atom

A relaxed La2Sm3Dy6Y crystal. Source: Alexandria via LeMat-Bulk, functional PBE.

Cell and atoms, written as CIF:
```
data_La2Sm3Dy6Y
_cell_length_a 6.2455
_cell_length_b 10.8149
_cell_length_c 11.8868
_cell_angle_alpha 90.00
_cell_angle_beta 100.05
_cell_angle_gamma 90.00
_space_group_name_H-M_alt 'C 1 2/m 1'
_space_group_IT_number 12
_space_group_name_Hall '-C 2y'
loop_
_atom_site_label
_atom_site_type_symbol
_atom_site_fract_x
_atom_site_fract_y
_atom_site_fract_z
La1 La 0.0000 0.1664 0.0000
Sm1 Sm 0.0000 0.0000 0.5000
Sm2 Sm 0.0000 0.3334 0.5000
Dy1 Dy 0.2481 0.5000 0.7475
Dy2 Dy 0.2492 0.1664 0.7478
Y1 Y 0.0000 0.5000 0.0000
```

Summary:
energy of formation from the pure elements: 0.02 eV/atom

no.,E (eV per atom),volume (Å³ per atom)
1,-5.110,32.75
2,-4.816,35.90
3,-4.980,33.83
4,-5.660,33.42
5,-5.644,33.28
6,-4.824,32.94